[1]
# Al3NiRh (GGA-PBEsol, relaxed)
data_Al3NiRh
_chemical_formula_sum 'Al3 Ni1 Rh1'
_cell_length_a 4.304
_cell_length_b 4.304
_cell_length_c 4.304
_cell_angle_alpha 90.00
_cell_angle_beta 90.00
_cell_angle_gamma 90.00
_symmetry_space_group_name_H-M 'P m -3 m'
_symmetry_Int_Tables_number 221
_symmetry_space_group_name_Hall '-P 4 2 3'
loop_
_atom_site_label
_atom_site_fract_x
_atom_site_fract_y
_atom_site_fract_z
Al1 0.000 0.000 0.500
Ni1 0.000 0.000 0.000
Rh1 0.500 0.500 0.500
# - crystal system = cubic
# - formation energy (kJ/mol of formula units) = 45

=====

[2]
# AlNi6Rh (GGA-PBEsol, relaxed)
data_AlNi6Rh
_chemical_formula_sum 'Al8 Ni48 Rh8'
_cell_length_a 7.075
_cell_length_b 10.002
_cell_length_c 9.996
_cell_angle_alpha 90.00
_cell_angle_beta 90.00
_cell_angle_gamma 90.00
_symmetry_space_group_name_H-M 'C m m m'
_symmetry_Int_Tables_number 65
_symmetry_space_group_name_Hall '-C 2 2'
loop_
_atom_site_label
_atom_site_fract_x
_atom_site_fract_y
_atom_site_fract_z
Al1 0.000 0.000 0.248
Al2 0.000 0.250 0.000
Ni1 0.000 0.000 0.000
Ni2 0.000 0.000 0.500
Ni3 0.000 0.249 0.249
Ni4 0.000 0.500 0.000
Ni5 0.000 0.500 0.500
Ni6 0.248 0.125 0.373
Ni7 0.249 0.125 0.124
Rh1 0.000 0.249 0.500
Rh2 0.000 0.500 0.250
# - crystal system = orthorhombic
# - formation energy (kJ/mol of formula units) = -152

=====

[3]
# Al3NiRh (GGA-PBEsol, relaxed)
data_Al3NiRh
_chemical_formula_sum 'Al3 Ni1 Rh1'
_cell_length_a 4.554
_cell_length_b 4.554
_cell_length_c 4.554
_cell_angle_alpha 90.00
_cell_angle_beta 90.00
_cell_angle_gamma 90.00
_symmetry_space_group_name_H-M 'P m -3 m'
_symmetry_Int_Tables_number 221
_symmetry_space_group_name_Hall '-P 4 2 3'
loop_
_atom_site_label
_atom_site_fract_x
_atom_site_fract_y
_atom_site_fract_z
Al1 0.000 0.000 0.500
Ni1 0.500 0.500 0.500
Rh1 0.000 0.000 0.000
# - crystal system = cubic
# - formation energy (kJ/mol of formula units) = 121

=====

[4]
# Al2NiRh (GGA-PBEsol, relaxed)
data_Al2NiRh
_chemical_formula_sum 'Al4 Ni2 Rh2'
_cell_length_a 5.905
_cell_length_b 5.923
_cell_length_c 2.872
_cell_angle_alpha 90.00
_cell_angle_beta 90.00
_cell_angle_gamma 90.00
_symmetry_space_group_name_H-M 'C m m m'
_symmetry_Int_Tables_number 65
_symmetry_space_group_name_Hall '-C 2 2'
loop_
_atom_site_label
_atom_site_fract_x
_atom_site_fract_y
_atom_site_fract_z
Al1 0.250 0.250 0.000
Ni1 0.000 0.000 0.500
Rh1 0.000 0.500 0.500
# - crystal system = orthorhombic
# - formation energy (kJ/mol of formula units) = -323

=====

[5]
# AlNi2SnRh (GGA-PBEsol, relaxed)
data_AlNi2SnRh
_chemical_formula_sum 'Al1 Ni2 Sn1 Rh1'
_cell_length_a 4.494
_cell_length_b 4.494
_cell_length_c 4.783
_cell_angle_alpha 90.00
_cell_angle_beta 90.00
_cell_angle_gamma 90.00
_symmetry_space_group_name_H-M 'P 4/m m m'
_symmetry_Int_Tables_number 123
_symmetry_space_group_name_Hall '-P 4 2'
loop_
_atom_site_label
_atom_site_fract_x
_atom_site_fract_y
_atom_site_fract_z
Al1 0.000 0.000 0.000
Ni1 0.000 0.500 0.500
Sn1 0.500 0.500 0.500
Rh1 0.500 0.500 0.000
# - crystal system = tetragonal
# - formation energy (kJ/mol of formula units) = 487

=====

[6]
# Al2NiRu (GGA-PBEsol, relaxed)
data_Al2NiRu
_chemical_formula_sum 'Al6 Ni3 Ru3'
_cell_length_a 2.7782
_cell_length_b 2.7782
_cell_length_c 23.4610
_cell_angle_alpha 90.00
_cell_angle_beta 90.00
_cell_angle_gamma 120.00
_symmetry_space_group_name_H-M 'R -3 m'
_symmetry_Int_Tables_number 166
_symmetry_space_group_name_Hall '-R 3 2"'
loop_
_atom_site_label
_atom_site_fract_x
_atom_site_fract_y
_atom_site_fract_z
Al1 0.0000 0.0000 0.2475
Ni1 0.0000 0.0000 0.5000
Ru1 0.0000 0.0000 0.0000
# - crystal system = trigonal
# - formation energy (kJ/mol of formula units) = -137

=====

Copy entry 1 word for word.
# Al3NiRh (GGA-PBEsol, relaxed)
data_Al3NiRh
_chemical_formula_sum 'Al3 Ni1 Rh1'
_cell_length_a 4.304
_cell_length_b 4.304
_cell_length_c 4.304
_cell_angle_alpha 90.00
_cell_angle_beta 90.00
_cell_angle_gamma 90.00
_symmetry_space_group_name_H-M 'P m -3 m'
_symmetry_Int_Tables_number 221
_symmetry_space_group_name_Hall '-P 4 2 3'
loop_
_atom_site_label
_atom_site_fract_x
_atom_site_fract_y
_atom_site_fract_z
Al1 0.000 0.000 0.500
Ni1 0.000 0.000 0.000
Rh1 0.500 0.500 0.500
# - crystal system = cubic
# - formation energy (kJ/mol of formula units) = 45

=====

- The lowest formation energy belongs to which entry?
  Al2NiRh

=====

- What is the formation energy in the fifth record?
  487 kJ/mol of formula units